! Sm2Sc3Si4 | Alexandria | meta-GGA SCAN | PBEsol geometry; values from VASP
&SYSTEM
  ibrav = 0, nat = 36, ntyp = 3
/
ATOMIC_SPECIES
Sm 150.36 Sm.upf
Sc 44.96 Sc.upf
Si 28.09 Si.upf
ATOMIC_POSITIONS angstrom
Sm 7.015 6.098 1.352
Sm 0.079 1.284 12.603
Sm 3.627 2.407 12.603
Sm 0.079 1.284 8.329
Sm 3.468 4.975 1.352
Sm 7.015 6.098 5.626
Sm 3.468 4.975 5.626
Sm 3.627 2.407 8.329
Sc 5.939 3.673 10.466
Sc 1.155 3.708 3.489
Sc 4.703 7.364 3.489
Sc 2.392 0.017 10.466
Sc 4.753 6.080 8.725
Sc 2.341 1.301 5.229
Sc 5.889 2.390 5.229
Sc 2.341 1.301 1.748
Sc 1.206 4.992 8.725
Sc 4.753 6.080 12.206
Sc 1.206 4.992 12.206
Sc 5.889 2.390 1.748
Si 6.850 6.499 10.466
Si 0.245 0.882 3.489
Si 3.792 2.809 3.489
Si 3.302 4.573 10.466
Si 5.060 0.908 10.466
Si 2.034 6.474 3.489
Si 5.582 4.599 3.489
Si 1.513 2.783 10.466
Si 5.997 3.958 7.524
Si 1.097 3.424 6.430
Si 4.645 0.267 6.430
Si 1.097 3.424 0.547
Si 2.450 7.114 7.524
Si 5.997 3.958 13.407
Si 2.450 7.114 13.407
Si 4.645 0.267 0.547
CELL_PARAMETERS angstrom
7.095 0.000 0.000
0.000 7.381 0.000
0.000 0.000 13.954
! Density: 4.98 g/cm³
! Energy: -19.9330 eV per atom
! Uncorrected formation energy: -19.83 kcal/mol of atoms
! SG: Pnma, No. 62

=====

! MnAlIn2 | Alexandria | meta-GGA SCAN | PBEsol geometry; values from VASP
&SYSTEM
  ibrav = 0, nat = 4, ntyp = 3
/
ATOMIC_SPECIES
Mn 54.94 Mn.upf
Al 26.98 Al.upf
In 114.82 In.upf
ATOMIC_POSITIONS angstrom
Mn -0.157 -1.503 0.354
Al 1.702 -1.185 2.524
In 2.509 -0.309 -0.200
In -0.650 0.626 2.369
CELL_PARAMETERS angstrom
-0.313 -3.006 0.709
5.017 -0.618 -0.400
-1.299 1.253 4.739
! Density: 6.94 g/cm³
! Energy: -23.1408 eV per atom
! Energy of formation: 54 meV per atom
! SG: Cmmm, No. 65

=====

! Ca2HgPdCl | Alexandria | meta-GGA SCAN | PBEsol geometry; values from VASP
&SYSTEM
  ibrav = 0, nat = 5, ntyp = 4
/
ATOMIC_SPECIES
Ca 40.08 Ca.upf
Hg 200.59 Hg.upf
Pd 106.42 Pd.upf
Cl 35.45 Cl.upf
ATOMIC_POSITIONS angstrom
Ca 0.000 0.000 2.615
Ca 0.000 2.615 0.000
Hg 2.261 2.615 2.615
Pd 2.261 0.000 0.000
Cl 0.000 0.000 0.000
CELL_PARAMETERS angstrom
4.522 0.000 0.000
0.000 5.229 0.000
0.000 0.000 5.229
! Density: 5.67 g/cm³
! Energy: -26.3240 eV per atom
! Uncorrected formation energy: -15.57 kcal/mol of atoms
! SG: P4/mmm, No. 123

=====

! LaMn2Ni3 | Alexandria | meta-GGA SCAN | PBEsol geometry; values from VASP
&SYSTEM
  ibrav = 0, nat = 6, ntyp = 3
/
ATOMIC_SPECIES
La 138.91 La.upf
Mn 54.94 Mn.upf
Ni 58.69 Ni.upf
ATOMIC_POSITIONS angstrom
La 0.000 0.000 0.000
Mn 0.819 -2.411 1.461
Mn 2.847 -0.668 0.251
Ni -0.702 -3.114 -0.321
Ni 2.341 -0.499 -2.136
Ni 1.736 -2.576 -0.801
CELL_PARAMETERS angstrom
-0.194 -2.074 -3.313
4.876 1.075 -0.959
-1.209 -4.154 2.671
! Density: 8.05 g/cm³
! Energy: -21.6589 eV per atom
! Energy of formation: -303 meV per atom
! SG: P6/mmm, No. 191

=====

! Li2Mn3F8 | Alexandria | meta-GGA SCAN | PBEsol geometry; values from VASP
&SYSTEM
  ibrav = 0, nat = 26, ntyp = 3
/
ATOMIC_SPECIES
Li 6.94 Li.upf
Mn 54.94 Mn.upf
F 19.00 F.upf
ATOMIC_POSITIONS angstrom
Li 4.279 0.760 1.871
Li 1.480 5.158 1.893
Li 3.557 -2.199 6.874
Li 0.758 2.199 6.896
Mn 3.837 4.026 3.567
Mn 1.038 1.893 3.589
Mn 3.999 1.067 5.178
Mn 1.200 -1.067 5.199
Mn 4.199 3.707 -0.032
Mn 1.400 2.211 -0.011
F 3.230 2.055 0.933
F 0.431 3.864 0.954
F 3.474 4.928 1.561
F 0.675 0.991 1.583
F 5.207 -0.415 3.556
F 2.408 0.415 3.578
F 4.550 2.104 3.244
F 1.751 3.814 3.265
F 3.286 -0.855 5.502
F 0.487 0.855 5.523
F 2.629 2.544 5.189
F -0.171 3.374 5.211
F 4.362 1.969 7.184
F 1.563 -1.969 7.206
F 4.606 -0.905 7.813
F 1.807 0.905 7.834
CELL_PARAMETERS angstrom
5.598 0.000 -0.043
0.000 5.918 0.000
-0.561 -2.959 8.810
! Density: 3.76 g/cm³
! Energy: -9.6561 eV per atom
! Uncorrected formation energy: -66.81 kcal/mol of atoms
! E above lowest polymorph: 50 meV/atom
! SG: C2/c, No. 15

=====

! CrOsPb2 | Alexandria | meta-GGA SCAN | PBEsol geometry; values from VASP
&SYSTEM
  ibrav = 0, nat = 4, ntyp = 3
/
ATOMIC_SPECIES
Cr 52.00 Cr.upf
Os 190.23 Os.upf
Pb 207.20 Pb.upf
ATOMIC_POSITIONS angstrom
Cr 2.028 2.028 0.000
Os 0.000 2.028 2.320
Pb 0.000 0.000 0.000
Pb 2.028 0.000 2.320
CELL_PARAMETERS angstrom
4.055 0.000 0.000
0.000 4.055 0.000
-2.028 -2.028 4.640
! Density: 14.29 g/cm³
! Energy: -59.6031 eV per atom
! Energy of formation: 854 meV per atom
! E above lowest polymorph: 451 meV/atom
! SG: I-4m2, No. 119

=====

! ZnCuPO2 | Alexandria | meta-GGA SCAN | PBEsol geometry; values from VASP
&SYSTEM
  ibrav = 0, nat = 5, ntyp = 4
/
ATOMIC_SPECIES
P 30.97 P.upf
Zn 65.41 Zn.upf
O 16.00 O.upf
Cu 63.55 Cu.upf
ATOMIC_POSITIONS angstrom
P -0.816 0.590 2.167
Zn -2.497 -1.351 2.063
O 0.027 -1.751 0.487
O -1.708 -0.191 -0.591
Cu 0.000 0.000 0.000
CELL_PARAMETERS angstrom
-3.417 -0.381 -1.182
0.054 -3.502 0.974
-1.631 1.181 4.334
! Density: 5.04 g/cm³
! Energy: -10.1520 eV per atom
! Uncorrected formation energy: 3.76 kcal/mol of atoms
! SG: P4/mmm, No. 123

=====

! MgZrRu3 | Alexandria | meta-GGA SCAN | PBEsol geometry; values from VASP
&SYSTEM
  ibrav = 0, nat = 5, ntyp = 3
/
ATOMIC_SPECIES
Ru 101.07 Ru.upf
Mg 24.30 Mg.upf
Zr 91.22 Zr.upf
ATOMIC_POSITIONS angstrom
Ru 0.668 -2.072 -0.291
Ru -0.129 -0.346 2.165
Ru -2.089 -0.641 -0.227
Mg 0.000 0.000 0.000
Zr -1.550 -3.059 1.648
CELL_PARAMETERS angstrom
-4.177 -1.282 -0.454
1.335 -4.145 -0.582
-0.258 -0.691 4.331
! Density: 8.20 g/cm³
! Energy: -27.0321 eV per atom
! Energy of formation: 998 meV per atom
! SG: Pm-3m, No. 221

=====

! KSrYNb2 | Alexandria | meta-GGA SCAN | PBEsol geometry; values from VASP
&SYSTEM
  ibrav = 0, nat = 5, ntyp = 4
/
ATOMIC_SPECIES
Y 88.91 Y.upf
Sr 87.62 Sr.upf
Nb 92.91 Nb.upf
K 39.10 K.upf
ATOMIC_POSITIONS angstrom
Y 0.000 0.000 0.000
Sr -3.858 -1.787 1.995
Nb -1.835 -1.192 -1.330
Nb -1.773 1.444 1.152
K -0.249 -2.039 2.172
CELL_PARAMETERS angstrom
-3.546 2.889 2.305
-3.671 -2.384 -2.660
-0.499 -4.079 4.345
! Density: 4.25 g/cm³
! Energy: -23.4670 eV per atom
! Energy of formation: 1474 meV per atom
! SG: P4/mmm, No. 123

=====

! AgMoP3 | Alexandria | meta-GGA SCAN | PBEsol geometry; values from VASP
&SYSTEM
  ibrav = 0, nat = 5, ntyp = 3
/
ATOMIC_SPECIES
P 30.97 P.upf
Mo 95.94 Mo.upf
Ag 107.87 Ag.upf
ATOMIC_POSITIONS angstrom
P -1.661 0.056 1.615
P 0.156 2.311 0.080
P -1.608 0.166 -1.660
Mo 0.000 0.000 0.000
Ag -3.113 2.533 0.034
CELL_PARAMETERS angstrom
-3.216 0.333 -3.321
-3.323 0.112 3.229
0.312 4.621 0.161
! Density: 4.95 g/cm³
! Energy: -18.8468 eV per atom
! Energy of formation: 643 meV per atom
! SG: Pm-3m, No. 221

=====

! MgTaS2 | Alexandria | meta-GGA SCAN | PBEsol geometry; values from VASP
&SYSTEM
  ibrav = 0, nat = 4, ntyp = 3
/
ATOMIC_SPECIES
S 32.06 S.upf
Mg 24.30 Mg.upf
Ta 180.95 Ta.upf
ATOMIC_POSITIONS angstrom
S -6.401 -0.210 0.479
S -3.442 -2.983 3.407
Mg -4.922 -1.597 1.943
Ta 0.000 0.000 0.000
CELL_PARAMETERS angstrom
-2.823 1.913 0.579
-2.913 -0.643 -1.750
-4.107 -4.464 5.057
! Density: 5.65 g/cm³
! Energy: -23.1983 eV per atom
! Uncorrected formation energy: -11.42 kcal/mol of atoms
! SG: R-3m, No. 166

=====

! MgZrAu | Alexandria | meta-GGA SCAN | PBEsol geometry; values from VASP
&SYSTEM
  ibrav = 0, nat = 3, ntyp = 3
/
ATOMIC_SPECIES
Au 196.97 Au.upf
Mg 24.30 Mg.upf
Zr 91.22 Zr.upf
ATOMIC_POSITIONS angstrom
Au -2.466 -0.042 0.096
Mg -2.387 -2.583 1.036
Zr -1.019 -2.103 -1.691
CELL_PARAMETERS angstrom
-2.960 -0.050 0.116
-0.144 -1.632 -4.400
0.192 -2.996 3.610
! Density: 9.18 g/cm³
! Energy: -35.4096 eV per atom
! Energy of formation: -466 meV per atom
! SG: P-6m2, No. 187

=====

! Li2ReRu | Alexandria | meta-GGA SCAN | PBEsol geometry; values from VASP
&SYSTEM
  ibrav = 0, nat = 4, ntyp = 3
/
ATOMIC_SPECIES
Li 6.94 Li.upf
Re 186.21 Re.upf
Ru 101.07 Ru.upf
ATOMIC_POSITIONS angstrom
Li -0.439 2.478 1.259
Li -1.388 7.288 3.653
Re 0.000 0.000 0.000
Ru -0.913 4.883 2.456
CELL_PARAMETERS angstrom
-1.383 1.792 -1.301
-2.437 0.564 0.748
1.994 7.409 5.465
! Density: 9.11 g/cm³
! Energy: -27.4802 eV per atom
! Energy of formation: 196 meV per atom
! E above lowest polymorph: 0 meV/atom
! SG: R-3m, No. 166

=====

! Ag4As | Alexandria | meta-GGA SCAN | PBEsol geometry; values from VASP
&SYSTEM
  ibrav = 0, nat = 5, ntyp = 2
/
ATOMIC_SPECIES
As 74.92 As.upf
Ag 107.87 Ag.upf
ATOMIC_POSITIONS angstrom
As 0.000 0.000 0.000
Ag -3.111 -3.713 1.022
Ag -3.908 -5.901 2.696
Ag -1.576 -4.378 3.379
Ag -0.779 -2.190 1.705
CELL_PARAMETERS angstrom
-3.390 -0.989 1.929
-2.047 -4.282 -1.596
0.750 -2.821 4.068
! Density: 9.94 g/cm³
! Energy: -29.0589 eV per atom
! Energy of formation: 73 meV per atom
! SG: I4/m, No. 87

=====

! MoPCCl2 | Alexandria | meta-GGA SCAN | PBEsol geometry; values from VASP
&SYSTEM
  ibrav = 0, nat = 5, ntyp = 4
/
ATOMIC_SPECIES
P 30.97 P.upf
Mo 95.94 Mo.upf
C 12.01 C.upf
Cl 35.45 Cl.upf
ATOMIC_POSITIONS angstrom
P 2.120 0.000 0.000
Mo 2.120 2.061 2.061
C 0.000 0.000 0.000
Cl 0.000 0.000 2.061
Cl 0.000 2.061 0.000
CELL_PARAMETERS angstrom
4.240 0.000 0.000
0.000 4.122 0.000
0.000 0.000 4.122
! Density: 4.84 g/cm³
! Energy: -12.7931 eV per atom
! Uncorrected formation energy: 34.01 kcal/mol of atoms
! E above lowest polymorph: 170 meV/atom
! SG: P4/mmm, No. 123

=====

! BeOs2Rh | Alexandria | meta-GGA SCAN | PBEsol geometry; values from VASP
&SYSTEM
  ibrav = 0, nat = 4, ntyp = 3
/
ATOMIC_SPECIES
Rh 102.91 Rh.upf
Os 190.23 Os.upf
Be 9.01 Be.upf
ATOMIC_POSITIONS angstrom
Rh 0.000 0.000 3.919
Os 0.000 0.000 0.192
Os 0.706 1.174 6.231
Be 0.706 1.174 2.121
CELL_PARAMETERS angstrom
2.649 0.005 0.000
-1.237 2.342 0.000
0.000 0.000 8.308
! Density: 15.84 g/cm³
! Energy: -45.2212 eV per atom
! Energy of formation: 250 meV per atom
! SG: Cmm2, No. 35

=====

! NbSb2TeN | Alexandria | meta-GGA SCAN | PBEsol geometry; values from VASP
&SYSTEM
  ibrav = 0, nat = 5, ntyp = 4
/
ATOMIC_SPECIES
Sb 121.76 Sb.upf
Nb 92.91 Nb.upf
Te 127.60 Te.upf
N 14.01 N.upf
ATOMIC_POSITIONS angstrom
Sb 0.000 2.659 0.000
Sb 2.659 0.000 0.000
Nb 0.000 0.000 0.000
Te 0.000 0.000 2.642
N 2.659 2.659 2.642
CELL_PARAMETERS angstrom
5.318 0.000 0.000
0.000 5.318 0.000
0.000 0.000 5.284
! Density: 5.31 g/cm³
! Energy: -29.6806 eV per atom
! Uncorrected formation energy: 26.71 kcal/mol of atoms
! E above lowest polymorph: 432 meV/atom
! SG: P4/mmm, No. 123

=====

! Ge3SI | Alexandria | meta-GGA SCAN | PBEsol geometry; values from VASP
&SYSTEM
  ibrav = 0, nat = 5, ntyp = 3
/
ATOMIC_SPECIES
I 126.90 I.upf
Ge 72.64 Ge.upf
S 32.06 S.upf
ATOMIC_POSITIONS angstrom
I 2.628 -3.399 0.512
Ge 0.597 -1.643 -1.784
Ge 2.398 0.122 0.690
Ge -0.367 -1.878 1.606
S 0.000 0.000 0.000
CELL_PARAMETERS angstrom
-0.733 -3.755 3.213
1.194 -3.286 -3.569
4.796 0.244 1.380
! Density: 5.02 g/cm³
! Energy: -20.0301 eV per atom
! Uncorrected formation energy: 16.06 kcal/mol of atoms
! E above lowest polymorph: 0 meV/atom
! SG: Pm-3m, No. 221

=====

! Li3CuF6 | Alexandria | meta-GGA SCAN | PBEsol geometry; values from VASP
&SYSTEM
  ibrav = 0, nat = 40, ntyp = 3
/
ATOMIC_SPECIES
Li 6.94 Li.upf
Cu 63.55 Cu.upf
F 19.00 F.upf
ATOMIC_POSITIONS angstrom
Li 0.788 -1.035 3.415
Li -2.795 -5.730 4.773
Li -3.994 -2.921 3.946
Li -1.585 -3.235 -0.615
Li -1.997 -1.461 1.973
Li -4.406 -1.147 6.535
Li -3.197 1.349 1.146
Li -4.782 -1.886 0.532
Li -6.779 -3.346 2.505
Li 0.000 0.000 0.000
Li -2.409 0.314 4.561
Li -0.797 -4.270 2.800
Cu -3.582 -4.695 1.358
Cu -5.194 -0.112 3.120
Cu -1.209 -2.496 5.388
Cu -5.992 -4.382 5.920
F -2.634 -4.897 2.985
F -7.270 -3.518 7.018
F -0.079 -0.994 5.160
F -2.340 -3.998 5.616
F -7.033 0.340 3.139
F -2.706 -1.346 5.540
F -4.713 -5.245 4.821
F -0.951 -2.407 7.262
F -5.375 -0.919 4.823
F -4.531 -4.493 -0.268
F -3.828 -6.571 1.268
F -4.691 -3.103 6.429
F -7.292 -5.660 5.410
F -3.337 -2.819 1.448
F -5.482 -5.480 7.376
F -1.468 -2.585 3.514
F -5.013 0.695 1.416
F -5.203 -4.530 2.324
F -3.355 -0.564 3.100
F 0.287 -3.646 5.236
F -5.609 -1.764 2.292
F -4.779 1.540 3.947
F -1.962 -4.860 0.393
F -6.501 -3.283 4.464
CELL_PARAMETERS angstrom
-6.394 2.698 2.293
-3.171 -6.469 -1.230
1.576 -2.071 6.830
! Density: 3.37 g/cm³
! Energy: -6.9013 eV per atom
! Uncorrected formation energy: -58.58 kcal/mol of atoms
! E above lowest polymorph: 52 meV/atom
! SG: Pn-3, No. 201

=====

! TlIr2Au | Alexandria | meta-GGA SCAN | PBEsol geometry; values from VASP
&SYSTEM
  ibrav = 0, nat = 4, ntyp = 3
/
ATOMIC_SPECIES
Au 196.97 Au.upf
Ir 192.22 Ir.upf
Tl 204.38 Tl.upf
ATOMIC_POSITIONS angstrom
Au -0.009 2.355 2.459
Ir 2.143 0.000 3.632
Ir 0.710 0.000 1.285
Tl 1.436 2.355 -0.001
CELL_PARAMETERS angstrom
2.872 0.000 -0.001
0.000 4.711 0.000
-0.018 0.000 4.918
! Density: 19.61 g/cm³
! Energy: -70.3608 eV per atom
! Energy of formation: 568 meV per atom
! E above lowest polymorph: 176 meV/atom
! SG: P2/m, No. 10

=====

! RbNdP4O12 | Alexandria | meta-GGA SCAN | PBEsol geometry; values from VASP
&SYSTEM
  ibrav = 0, nat = 36, ntyp = 4
/
ATOMIC_SPECIES
Rb 85.47 Rb.upf
Nd 144.24 Nd.upf
P 30.97 P.upf
O 16.00 O.upf
ATOMIC_POSITIONS angstrom
Rb 2.625 -0.341 7.477
Rb -0.480 3.822 2.492
Nd -0.756 1.742 7.477
Nd 2.901 1.740 2.492
P 1.864 3.620 5.541
P -1.256 -1.442 9.412
P 0.282 -0.139 4.428
P 3.401 4.924 0.557
P 4.896 -0.192 4.906
P 5.523 0.826 0.079
P -2.751 3.674 5.063
P -3.378 2.656 9.891
O 0.980 1.332 9.122
O 0.391 0.377 5.831
O 1.166 2.150 0.847
O 1.754 3.105 4.138
O -0.863 -0.566 8.276
O 1.258 2.876 6.677
O 3.008 4.048 1.693
O 0.887 0.606 3.292
O -0.790 -2.950 9.064
O 3.420 3.883 5.889
O 2.935 6.432 0.905
O -1.275 -0.401 4.080
O 4.860 1.733 1.071
O 3.788 -0.007 3.914
O -2.715 1.749 8.899
O -1.643 3.489 6.055
O 2.798 -0.252 1.062
O 4.633 2.727 3.923
O -0.652 3.734 8.908
O -2.488 0.754 6.046
O -2.530 5.038 0.623
O -2.487 5.107 4.362
O 4.675 -1.556 9.346
O 4.633 -1.625 5.607
CELL_PARAMETERS angstrom
7.528 0.014 0.000
-3.372 6.730 0.000
-2.010 -3.262 9.968
! Density: 3.58 g/cm³
! Energy: -12.7646 eV per atom
! Uncorrected formation energy: -62.87 kcal/mol of atoms
! E above lowest polymorph: 4 meV/atom
! SG: C2/c, No. 15

=====

! MgNi2O4 | Alexandria | meta-GGA SCAN | PBEsol geometry; values from VASP
&SYSTEM
  ibrav = 0, nat = 14, ntyp = 3
/
ATOMIC_SPECIES
Mg 24.30 Mg.upf
Ni 58.69 Ni.upf
O 16.00 O.upf
ATOMIC_POSITIONS angstrom
Mg 0.000 0.000 0.000
Mg -3.240 -1.423 0.194
Ni -5.563 -3.263 1.846
Ni -6.615 -1.084 0.259
Ni -8.099 -3.557 0.484
Ni -5.640 -3.479 -1.039
O -6.359 -4.410 0.502
O -8.906 -4.639 1.876
O -8.974 -4.831 -0.685
O -11.157 -4.900 0.667
O -7.224 -2.283 1.654
O -5.041 -2.214 0.301
O -9.839 -2.704 0.467
O -7.293 -2.476 -0.907
CELL_PARAMETERS angstrom
-4.918 -0.156 3.046
-5.072 -0.589 -2.723
-2.969 -4.947 0.451
! Density: 4.99 g/cm³
! Energy: -10.5955 eV per atom
! Uncorrected formation energy: -39.28 kcal/mol of atoms
! SG: Fd-3m, No. 227